# FeTeCl2 (PBE, relaxed)
data_FeTeCl2
_symmetry_space_group_name_H-M 'C m m m'
_symmetry_Int_Tables_number 65
_symmetry_space_group_name_Hall '-C 2 2'
_cell_length_a 6.173
_cell_length_b 8.742
_cell_length_c 3.203
_cell_angle_alpha 90.00
_cell_angle_beta 90.00
_cell_angle_gamma 90.00
loop_
_atom_site_label
_atom_site_fract_x
_atom_site_fract_y
_atom_site_fract_z
Fe1 0.000 0.000 0.000
Te1 0.000 0.500 0.000
Cl1 0.250 0.250 0.500
# **Formation energy from raw total energies**: 1.920 eV/f.u.
# **Energy relative to the lowest polymorph listed for this composition**: 3.37 eV/f.u.

=====

# FeTeCl7 (PBE, relaxed)
data_FeTeCl7
_symmetry_space_group_name_H-M 'P 1'
_symmetry_Int_Tables_number 1
_cell_length_a 6.817
_cell_length_b 8.920
_cell_length_c 10.715
_cell_angle_alpha 85.96
_cell_angle_beta 75.59
_cell_angle_gamma 83.86
loop_
_symmetry_equiv_pos_as_xyz
'x,y,z'
loop_
_atom_site_label
_atom_site_fract_x
_atom_site_fract_y
_atom_site_fract_z
Fe1 0.000 0.000 0.000
Fe2 0.264 0.442 0.414
Te1 0.464 0.359 0.968
Te2 0.711 0.799 0.407
Cl1 0.055 0.636 0.504
Cl2 0.185 0.387 0.233
Cl3 0.191 0.476 0.890
Cl4 0.227 0.250 0.548
Cl5 0.322 0.059 0.956
Cl6 0.446 0.915 0.319
Cl7 0.512 0.782 0.619
Cl8 0.586 0.498 0.368
Cl9 0.595 0.586 0.992
Cl10 0.679 0.318 0.763
Cl11 0.790 0.196 0.085
Cl12 0.839 0.024 0.437
Cl13 0.935 0.927 0.828
Cl14 0.978 0.804 0.144
# **Formation energy from raw total energies**: -6.129 eV/f.u.

=====

# FeTe2Cl (PBE, relaxed)
data_FeTe2Cl
_symmetry_space_group_name_H-M 'R -3 m'
_symmetry_Int_Tables_number 166
_symmetry_space_group_name_Hall '-R 3 2"'
_cell_length_a 3.8927
_cell_length_b 3.8927
_cell_length_c 23.5366
_cell_angle_alpha 90.00
_cell_angle_beta 90.00
_cell_angle_gamma 120.00
loop_
_atom_site_label
_atom_site_fract_x
_atom_site_fract_y
_atom_site_fract_z
Fe1 0.0000 0.0000 0.0000
Te1 0.0000 0.0000 0.3854
Cl1 0.0000 0.0000 0.5000
# **Formation energy from raw total energies**: -0.571 eV/f.u.
# **Energy relative to the lowest polymorph listed for this composition**: 0.02 eV/f.u.

=====

# FeTe2Cl (PBE, relaxed)
data_FeTe2Cl
_symmetry_space_group_name_H-M 'P m m m'
_symmetry_Int_Tables_number 47
_cell_length_a 3.959
_cell_length_b 4.340
_cell_length_c 6.175
_cell_angle_alpha 90.00
_cell_angle_beta 90.00
_cell_angle_gamma 90.00
loop_
_symmetry_equiv_pos_as_xyz
'x,y,z'
'-x,-y,-z'
'-x,-y,z'
'x,y,-z'
'x,-y,-z'
'-x,y,z'
'-x,y,-z'
'x,-y,z'
loop_
_atom_site_label
_atom_site_fract_x
_atom_site_fract_y
_atom_site_fract_z
Fe1 0.000 0.000 0.000
Te1 0.000 0.500 0.500
Te2 0.500 0.000 0.500
Cl1 0.500 0.500 0.000
# **Formation energy from raw total energies**: 1.884 eV/f.u.
# **Energy relative to the lowest polymorph listed for this composition**: 2.48 eV/f.u.